YCd3Ni PBE-GGA optimized geometry; formation energy = 623 kJ/mol of formula units; SG = Pm-3m (221); E above lowest polymorph = 1536 meV per atom
1.0
5.852 0.000 0.000
0.000 5.852 0.000
0.000 0.000 5.852
Y Cd Ni
1 3 1
Direct
0.000 0.000 0.000
0.000 0.000 0.500
0.000 0.500 0.000
0.500 0.000 0.000
0.500 0.500 0.500

***

Ba2HoSbS6 PBE-GGA optimized geometry; SG = P2_1/c (14); formation energy from raw total energies = -1.370 eV/atom
1.0
7.162 0.000 0.000
0.000 7.272 0.000
-7.122 0.000 10.213
Ba Ho Sb S
4 2 2 12
Direct
0.234 0.062 0.249
0.234 0.438 0.749
0.766 0.562 0.251
0.766 0.938 0.751
0.500 0.000 0.000
0.500 0.500 0.500
0.000 0.000 0.500
0.000 0.500 0.000
0.157 0.211 0.962
0.157 0.289 0.462
0.243 0.698 0.957
0.243 0.802 0.457
0.320 0.003 0.743
0.320 0.497 0.243
0.680 0.503 0.757
0.680 0.997 0.257
0.757 0.198 0.543
0.757 0.302 0.043
0.843 0.711 0.538
0.843 0.789 0.038

***

YHgPd6 PBE-GGA optimized geometry; formation energy = -21 kJ/mol of formula units; SG = R-3m (166); E above lowest polymorph = 459 meV per atom
1.0
3.694 2.133 3.446
-3.694 2.133 3.446
0.000 -4.265 3.446
Y Hg Pd
1 1 6
Direct
0.000 0.000 0.000
0.500 0.500 0.500
0.160 0.160 0.531
0.160 0.531 0.160
0.469 0.840 0.840
0.531 0.160 0.160
0.840 0.469 0.840
0.840 0.840 0.469

***

AcLa3Ho3 PBE-GGA optimized geometry; formation energy = 107 kJ/mol of formula units; SG = Cm (8); E above lowest polymorph = 113 meV per atom
1.0
6.543 -7.002 0.000
6.543 7.002 0.000
-2.025 0.000 11.031
Ac La Ho
4 12 12
Direct
0.000 0.000 0.000
0.029 0.029 0.416
0.672 0.943 0.192
0.943 0.672 0.192
0.031 0.320 0.226
0.131 0.904 0.704
0.219 0.670 0.981
0.320 0.031 0.226
0.379 0.895 0.515
0.412 0.645 0.684
0.584 0.584 0.981
0.645 0.412 0.684
0.670 0.219 0.981
0.729 0.729 0.481
0.895 0.379 0.515
0.904 0.131 0.704
0.116 0.630 0.482
0.175 0.411 0.732
0.305 0.305 0.025
0.329 0.329 0.457
0.363 0.612 0.266
0.401 0.949 0.939
0.411 0.175 0.732
0.612 0.363 0.266
0.630 0.116 0.482
0.659 0.910 0.770
0.910 0.659 0.770
0.949 0.401 0.939

***

CsGe3As2 PBE-GGA optimized geometry; formation energy = -53 kJ/mol of formula units; SG = C2/m (12)
1.0
8.925 -1.916 0.000
8.925 1.916 0.000
-2.142 0.000 9.728
Cs Ge As
2 6 4
Direct
0.123 0.123 0.058
0.877 0.877 0.942
0.050 0.050 0.417
0.285 0.285 0.574
0.376 0.376 0.357
0.624 0.624 0.643
0.715 0.715 0.426
0.950 0.950 0.583
0.208 0.208 0.760
0.498 0.498 0.257
0.502 0.502 0.743
0.792 0.792 0.240

***

LiTc2PdN PBE-GGA optimized geometry; SG = P4/mmm (123); formation energy from raw total energies = -0.078 eV/atom
1.0
3.956 0.000 0.000
0.000 3.956 0.000
0.000 0.000 4.114
Li Tc Pd N
1 2 1 1
Direct
0.000 0.000 0.000
0.000 0.500 0.500
0.500 0.000 0.500
0.500 0.500 0.000
0.000 0.000 0.500

***

La9Y4Hg11 PBE-GGA optimized geometry; formation energy = -960 kJ/mol of formula units; SG = Cmmm (65)
1.0
8.033 -11.932 0.000
8.033 11.932 0.000
0.000 0.000 3.611
La Y Hg
9 4 11
Direct
0.000 0.000 0.000
0.135 0.645 0.000
0.291 0.451 0.000
0.355 0.865 0.000
0.451 0.291 0.000
0.549 0.709 0.000
0.645 0.135 0.000
0.709 0.549 0.000
0.865 0.355 0.000
0.053 0.247 0.000
0.247 0.053 0.000
0.753 0.947 0.000
0.947 0.753 0.000
0.082 0.438 0.500
0.137 0.863 0.500
0.218 0.218 0.500
0.339 0.661 0.500
0.438 0.082 0.500
0.500 0.500 0.500
0.562 0.918 0.500
0.661 0.339 0.500
0.782 0.782 0.500
0.863 0.137 0.500
0.918 0.562 0.500

***

InP PBE-GGA optimized geometry; formation energy = 34 kJ/mol of formula units; SG = P4/nmm (129)
1.0
3.371 0.000 0.000
0.000 3.371 0.000
0.000 0.000 7.743
In P
2 2
Direct
0.250 0.250 0.158
0.750 0.750 0.842
0.250 0.250 0.523
0.750 0.750 0.477

***

BaFeOs2 PBE-GGA optimized geometry; formation energy = 596 kJ/mol of formula units; SG = P4/mmm (123); E above lowest polymorph = 1207 meV per atom
1.0
3.861 0.000 0.000
0.000 3.861 0.000
0.000 0.000 5.092
Ba Fe Os
1 1 2
Direct
0.000 0.000 0.000
0.500 0.500 0.000
0.000 0.500 0.500
0.500 0.000 0.500

***

NpScH2O6 PBE-GGA optimized geometry; SG = P-1 (2)
1.0
5.245 0.000 0.000
2.440 4.838 0.000
0.023 2.941 4.857
Np Sc H O
1 1 2 6
Direct
0.000 0.000 0.000
0.500 0.000 0.500
0.417 0.501 0.735
0.583 0.499 0.265
0.135 0.112 0.230
0.232 0.121 0.757
0.405 0.481 0.261
0.595 0.519 0.739
0.768 0.879 0.243
0.865 0.888 0.770

***

Number 1: V 40.09 Å³ per atom, total energy -8.5 eV per cell. Number 2: V 26.59 Å³ per atom, total energy -102.0 eV per cell. Number 3: V 20.36 Å³ per atom, total energy -38.1 eV per cell. Number 4: V 36.10 Å³ per atom, total energy -126.1 eV per cell. Number 5: V 27.72 Å³ per atom, total energy -49.1 eV per cell. Number 6: V 12.87 Å³ per atom, total energy -36.6 eV per cell. Number 7: V 28.85 Å³ per atom, total energy -83.5 eV per cell. Number 8: V 22.00 Å³ per atom, total energy -15.6 eV per cell. Number 9: V 18.98 Å³ per atom, total energy -26.7 eV per cell. Number 10: V 12.32 Å³ per atom, total energy -78.6 eV per cell.